No. 1
Re2SiRu: optimized geometry, PBE.

Cell: 2.752 2.752 8.413 Å, 90.00 90.00 115.69°
Atoms (fractional coordinates):
Re  0.000  0.000  0.986
Re  0.500  0.500  0.249
Ru  0.000  0.000  0.522
Si  0.500  0.500  0.743

Summary:
The calculation puts the total magnetization at 0.00 μB per formula unit. Its symmetry is Cmm2 (35). The calculated volume is 14.35 Å³/atom. For the uncorrected formation energy, the calculation gives 190 meV per atom.

No. 2
ReSiRu3: optimized geometry, PBE.

Cell: 4.656 4.656 4.656 Å, 90.00 90.00 90.00°
Atoms (fractional coordinates):
Re  0.000  0.000  0.000
Si  0.500  0.500  0.500
Ru  0.000  0.500  0.000
Ru  0.000  0.000  0.500
Ru  0.500  0.000  0.000

Summary:
The calculation puts the total magnetization at 0.00 μB per formula unit. Its symmetry is Pm-3m (221). The calculated volume is 20.19 Å³/atom. The value obtained for the energy above the most stable polymorph in this dataset is 748 meV per atom. For the uncorrected formation energy, the calculation gives 1756 meV per atom.